No. 1
{"formula": "KGeTeAuSe2", "functional": "PBE", "state": "relaxed", "lattice_angstrom": [[1.856, -8.448, 0.000], [1.856, 8.448, 0.000], [0.000, 0.000, 11.008]], "species": ["K", "K", "Ge", "Ge", "Te", "Te", "Au", "Au", "Se", "Se", "Se", "Se"], "frac_coords": [[0.232, 0.768, 0.750], [0.768, 0.232, 0.250], [0.500, 0.500, 0.000], [0.500, 0.500, 0.500], [0.450, 0.550, 0.250], [0.550, 0.450, 0.750], [0.107, 0.893, 0.250], [0.893, 0.107, 0.750], [0.112, 0.888, 0.027], [0.112, 0.888, 0.473], [0.888, 0.112, 0.527], [0.888, 0.112, 0.973]], "dft_energy_ev_per_atom": -3.51}

---

No. 2
{"formula": "KGeTe3Au", "functional": "PBE", "state": "relaxed", "lattice_angstrom": [[1.909, -8.257, 0.000], [1.909, 8.257, 0.000], [0.000, 0.000, 11.709]], "species": ["K", "K", "Ge", "Ge", "Te", "Te", "Te", "Te", "Te", "Te", "Au", "Au"], "frac_coords": [[0.232, 0.768, 0.750], [0.768, 0.232, 0.250], [0.500, 0.500, 0.000], [0.500, 0.500, 0.500], [0.128, 0.872, 0.028], [0.128, 0.872, 0.472], [0.455, 0.545, 0.250], [0.545, 0.455, 0.750], [0.872, 0.128, 0.528], [0.872, 0.128, 0.972], [0.096, 0.904, 0.250], [0.904, 0.096, 0.750]], "dft_energy_ev_per_atom": -3.32}

---

No. 3
{"formula": "LaGe2Au4", "functional": "PBE", "state": "relaxed", "lattice_angstrom": [[2.249, -7.117, 0.000], [2.249, 7.117, 0.000], [0.000, 0.000, 4.473]], "species": ["La", "Ge", "Ge", "Au", "Au", "Au", "Au"], "frac_coords": [[0.000, 0.000, 0.000], [0.412, 0.588, 0.500], [0.588, 0.412, 0.500], [0.178, 0.822, 0.500], [0.319, 0.681, 0.000], [0.681, 0.319, 0.000], [0.822, 0.178, 0.500]], "dft_energy_ev_per_atom": -4.34}

---

No. 4
{"formula": "La2Ge3Au", "functional": "PBE", "state": "relaxed", "lattice_angstrom": [[4.455, -4.328, 0.000], [4.455, 4.328, 0.000], [-4.441, 0.000, 7.485]], "species": ["La", "La", "La", "La", "Ge", "Ge", "Ge", "Ge", "Ge", "Ge", "Au", "Au"], "frac_coords": [[0.246, 0.246, 0.498], [0.248, 0.752, 0.000], [0.752, 0.248, 0.000], [0.754, 0.754, 0.502], [0.196, 0.196, 0.829], [0.198, 0.700, 0.335], [0.300, 0.802, 0.665], [0.700, 0.198, 0.335], [0.802, 0.300, 0.665], [0.804, 0.804, 0.171], [0.311, 0.311, 0.165], [0.689, 0.689, 0.835]], "dft_energy_ev_per_atom": -5.30}

---

No. 5
{"formula": "La3Ge4Au2", "functional": "PBE", "state": "relaxed", "lattice_angstrom": [[5.702, -2.236, 0.000], [5.702, 2.236, 0.000], [-1.791, 0.000, 8.497]], "species": ["La", "La", "La", "Ge", "Ge", "Ge", "Ge", "Au", "Au"], "frac_coords": [[0.000, 0.000, 0.000], [0.337, 0.337, 0.329], [0.663, 0.663, 0.671], [0.052, 0.052, 0.384], [0.286, 0.286, 0.956], [0.714, 0.714, 0.044], [0.948, 0.948, 0.616], [0.383, 0.383, 0.715], [0.617, 0.617, 0.285]], "dft_energy_ev_per_atom": -5.26}

---

No. 6
{"formula": "LaLuGe2Au2", "functional": "PBE", "state": "relaxed", "lattice_angstrom": [[4.495, 0.000, 0.000], [-2.248, 3.893, 0.000], [0.000, 0.000, 7.581]], "species": ["La", "Lu", "Ge", "Ge", "Au", "Au"], "frac_coords": [[0.000, 0.000, 0.000], [0.000, 0.000, 0.494], [0.333, 0.667, 0.698], [0.667, 0.333, 0.222], [0.333, 0.667, 0.311], [0.667, 0.333, 0.736]], "dft_energy_ev_per_atom": -5.05}